1.
Here is an optimized crystal structure of InSiSb2 from Alexandria. Energies are from GGA-PBEsol.

Cell: 3.6487 5.0513 5.0770 Å, 90.00 90.00 90.00°
Space group Pmmm (No. 47)
One atom of each set of equivalent atoms:
In (0.0000, 0.0000, 0.0000) (multiplicity 1)
Si (0.5000, 0.5000, 0.0000) (multiplicity 1)
Sb (0.0000, 0.5000, 0.5000) (multiplicity 1)
Sb (0.5000, 0.0000, 0.5000) (multiplicity 1)

Results
* distance to the lowest polymorph of the same formula: 4.9 kJ/mol of atoms
* crystal system: orthorhombic

=====

2.
Here is an optimized crystal structure of InSiSb2 from Alexandria. Energies are from GGA-PBEsol.

Cell: 3.6114 5.2367 9.9966 Å, 90.00 90.00 90.00°
Space group Cmmm (No. 65)
One atom of each set of equivalent atoms:
In (0.0000, 0.0000, 0.0000) (multiplicity 2)
Si (0.0000, 0.0000, 0.5000) (multiplicity 2)
Sb (0.0000, 0.5000, 0.2800) (multiplicity 4)

Results
* distance to the lowest polymorph of the same formula: 0.0 kJ/mol of atoms
* crystal system: orthorhombic

=====

3.
Here is an optimized crystal structure of InSiSb2 from Alexandria. Energies are from GGA-PBEsol.

Cell: 3.9235 5.1254 9.4231 Å, 90.00 90.00 90.00°
Space group Cmm2 (No. 35)
One atom of each set of equivalent atoms:
In (0.0000, 0.0000, 0.0000) (multiplicity 2)
Si (0.0000, 0.5000, 0.2240) (multiplicity 2)
Sb (0.0000, 0.0000, 0.4336) (multiplicity 2)
Sb (0.0000, 0.5000, 0.7376) (multiplicity 2)

Results
* distance to the lowest polymorph of the same formula: 1.4 kJ/mol of atoms
* crystal system: orthorhombic

=====

4.
Here is an optimized crystal structure of InSiSb3 from Alexandria. Energies are from GGA-PBEsol.

Cell: 5.2062 5.2062 5.2062 Å, 90.00 90.00 90.00°
Space group Pm-3m (No. 221)
One atom of each set of equivalent atoms:
In (0.0000, 0.0000, 0.0000) (multiplicity 1)
Si (0.5000, 0.5000, 0.5000) (multiplicity 1)
Sb (0.0000, 0.5000, 0.5000) (multiplicity 3)

Results
* E_tot: -3.991 eV per atom
* crystal system: cubic

=====

5.
Here is an optimized crystal structure of InSnSb2 from Alexandria. Energies are from GGA-PBEsol.

Cell: 6.6033 6.6033 13.5187 Å, 90.00 90.00 90.00°
Space group I-42d (No. 122)
One atom of each set of equivalent atoms:
In (0.0000, 0.0000, 0.0000) (multiplicity 4)
Sn (0.0000, 0.0000, 0.5000) (multiplicity 4)
Sb (0.2421, 0.2500, 0.1250) (multiplicity 8)

Results
* E_tot: -3.983 eV per atom
* crystal system: tetragonal

=====

6.
Here is an optimized crystal structure of SrIn4Sb from Alexandria. Energies are from GGA-PBEsol.

Cell: 8.7080 8.7080 8.7080 Å, 90.00 90.00 90.00°
Space group F-43m (No. 216)
One atom of each set of equivalent atoms:
Sr (0.0000, 0.0000, 0.0000) (multiplicity 4)
In (0.1245, 0.1245, 0.6245) (multiplicity 16)
Sb (0.2500, 0.2500, 0.2500) (multiplicity 4)

Results
* E_tot: -3.218 eV per atom
* crystal system: cubic

=====

7.
Here is an optimized crystal structure of SrTiIn2Sb from Alexandria. Energies are from GGA-PBEsol.

Cell: 5.2691 5.2691 5.2020 Å, 90.00 90.00 90.00°
Space group P4/mmm (No. 123)
One atom of each set of equivalent atoms:
Sr (0.0000, 0.0000, 0.0000) (multiplicity 1)
Ti (0.5000, 0.5000, 0.5000) (multiplicity 1)
In (0.0000, 0.5000, 0.5000) (multiplicity 2)
Sb (0.5000, 0.5000, 0.0000) (multiplicity 1)

Results
* E_tot: -4.372 eV per atom
* crystal system: tetragonal

=====

8.
Here is an optimized crystal structure of Ta2InSb from Alexandria. Energies are from GGA-PBEsol.

Cell: 6.7228 6.7228 6.7228 Å, 90.00 90.00 90.00°
Space group Fm-3m (No. 225)
One atom of each set of equivalent atoms:
Ta (0.2500, 0.2500, 0.2500) (multiplicity 8)
In (0.0000, 0.0000, 0.0000) (multiplicity 4)
Sb (0.0000, 0.0000, 0.5000) (multiplicity 4)

Results
* distance to the lowest polymorph of the same formula: 15.3 kJ/mol of atoms
* crystal system: cubic

=====

9.
Here is an optimized crystal structure of Ta4InSb from Alexandria. Energies are from GGA-PBEsol.

Cell: 7.7983 7.7983 7.7983 Å, 90.00 90.00 90.00°
Space group F-43m (No. 216)
One atom of each set of equivalent atoms:
Ta (0.1243, 0.1243, 0.1243) (multiplicity 16)
In (0.2500, 0.2500, 0.7500) (multiplicity 4)
Sb (0.0000, 0.0000, 0.5000) (multiplicity 4)

Results
* E_tot: -9.256 eV per atom
* crystal system: cubic

=====

10.
Here is an optimized crystal structure of Ta2InSb from Alexandria. Energies are from GGA-PBEsol.

Cell: 3.2466 3.2466 27.8153 Å, 90.00 90.00 120.00°
Space group R3m (No. 160, hexagonal axes)
One atom of each set of equivalent atoms:
Ta (0.0000, 0.0000, 0.0000) (multiplicity 3)
Ta (0.0000, 0.0000, 0.2627) (multiplicity 3)
In (0.0000, 0.0000, 0.5111) (multiplicity 3)
Sb (0.0000, 0.0000, 0.7459) (multiplicity 3)

Results
* distance to the lowest polymorph of the same formula: 0.0 kJ/mol of atoms
* crystal system: trigonal

=====

11.
Here is an optimized crystal structure of Ta2InSb from Alexandria. Energies are from GGA-PBEsol.

Cell: 6.1271 7.1101 3.5187 Å, 90.00 90.00 90.00°
Space group Cmmm (No. 65)
One atom of each set of equivalent atoms:
Ta (0.2500, 0.2500, 0.0000) (multiplicity 4)
In (0.0000, 0.0000, 0.5000) (multiplicity 2)
Sb (0.0000, 0.5000, 0.5000) (multiplicity 2)

Results
* distance to the lowest polymorph of the same formula: 12.5 kJ/mol of atoms
* crystal system: orthorhombic

=====

12.
Here is an optimized crystal structure of Ta2InSb from Alexandria. Energies are from GGA-PBEsol.

Cell: 4.1448 4.1448 8.9521 Å, 90.00 90.00 90.00°
Space group I-4m2 (No. 119)
One atom of each set of equivalent atoms:
Ta (0.0000, 0.0000, 0.0000) (multiplicity 2)
Ta (0.0000, 0.5000, 0.2500) (multiplicity 2)
In (0.0000, 0.0000, 0.5000) (multiplicity 2)
Sb (0.0000, 0.5000, 0.7500) (multiplicity 2)

Results
* distance to the lowest polymorph of the same formula: 8.8 kJ/mol of atoms
* crystal system: tetragonal

=====

13.
Here is an optimized crystal structure of TaInSbTe2 from Alexandria. Energies are from GGA-PBEsol.

Cell: 5.3829 5.3829 5.3664 Å, 90.00 90.00 90.00°
Space group P4/mmm (No. 123)
One atom of each set of equivalent atoms:
Ta (0.0000, 0.0000, 0.0000) (multiplicity 1)
In (0.5000, 0.5000, 0.5000) (multiplicity 1)
Sb (0.0000, 0.0000, 0.5000) (multiplicity 1)
Te (0.0000, 0.5000, 0.0000) (multiplicity 2)

Results
* E_tot: -5.220 eV per atom
* crystal system: tetragonal

=====

14.
Here is an optimized crystal structure of InTcSb from Alexandria. Energies are from GGA-PBEsol.

Cell: 6.4161 6.4161 6.4161 Å, 90.00 90.00 90.00°
Space group F-43m (No. 216)
One atom of each set of equivalent atoms:
In (0.0000, 0.0000, 0.0000) (multiplicity 4)
Tc (0.0000, 0.0000, 0.5000) (multiplicity 4)
Sb (0.2500, 0.2500, 0.7500) (multiplicity 4)

Results
* E_tot: -5.454 eV per atom
* crystal system: cubic

=====

15.
Here is an optimized crystal structure of InTcSb2 from Alexandria. Energies are from GGA-PBEsol.

Cell: 3.1862 4.3369 13.0922 Å, 90.00 90.00 90.00°
Space group Imm2 (No. 44)
One atom of each set of equivalent atoms:
In (0.0000, 0.0000, 0.0000) (multiplicity 2)
Tc (0.0000, 0.5000, 0.2973) (multiplicity 2)
Sb (0.0000, 0.0000, 0.6313) (multiplicity 2)
Sb (0.0000, 0.5000, 0.8255) (multiplicity 2)

Results
* E_tot: -5.654 eV per atom
* crystal system: orthorhombic

=====

16.
Here is an optimized crystal structure of InTcSb2 from Alexandria. Energies are from GGA-PBEsol.

Cell: 3.2397 3.2397 8.1806 Å, 90.00 90.00 90.00°
Space group P4/mmm (No. 123)
One atom of each set of equivalent atoms:
In (0.0000, 0.0000, 0.0000) (multiplicity 1)
Tc (0.0000, 0.0000, 0.5000) (multiplicity 1)
Sb (0.5000, 0.5000, 0.3035) (multiplicity 2)

Results
* E_tot: -5.842 eV per atom
* crystal system: tetragonal

=====

17.
Here is an optimized crystal structure of InTcSb2Te from Alexandria. Energies are from GGA-PBEsol.

Cell: 5.0091 5.0091 5.6033 Å, 90.00 90.00 90.00°
Space group P4/mmm (No. 123)
One atom of each set of equivalent atoms:
In (0.0000, 0.0000, 0.0000) (multiplicity 1)
Tc (0.5000, 0.5000, 0.5000) (multiplicity 1)
Sb (0.0000, 0.5000, 0.5000) (multiplicity 2)
Te (0.5000, 0.5000, 0.0000) (multiplicity 1)

Results
* E_tot: -4.961 eV per atom
* crystal system: tetragonal

=====

18.
Here is an optimized crystal structure of ZnIn2TcSb from Alexandria. Energies are from GGA-PBEsol.

Cell: 5.5694 5.5694 4.9221 Å, 90.00 90.00 90.00°
Space group P4/mmm (No. 123)
One atom of each set of equivalent atoms:
Zn (0.0000, 0.0000, 0.0000) (multiplicity 1)
In (0.0000, 0.5000, 0.5000) (multiplicity 2)
Tc (0.5000, 0.5000, 0.0000) (multiplicity 1)
Sb (0.0000, 0.0000, 0.5000) (multiplicity 1)

Results
* E_tot: -3.174 eV per atom
* crystal system: tetragonal

=====

19.
Here is an optimized crystal structure of InSbTe2 from Alexandria. Energies are from GGA-PBEsol.

Cell: 3.7753 3.7753 7.5615 Å, 90.00 90.00 90.00°
Space group P4/mmm (No. 123)
One atom of each set of equivalent atoms:
In (0.0000, 0.0000, 0.0000) (multiplicity 1)
Sb (0.0000, 0.0000, 0.5000) (multiplicity 1)
Te (0.5000, 0.5000, 0.2560) (multiplicity 2)

Results
* E_tot: -3.628 eV per atom
* crystal system: tetragonal

=====

20.
Here is an optimized crystal structure of InSbTe2 from Alexandria. Energies are from GGA-PBEsol.

Cell: 4.3994 4.3994 6.1686 Å, 90.00 90.00 90.00°
Space group P4/mmm (No. 123)
One atom of each set of equivalent atoms:
In (0.0000, 0.0000, 0.0000) (multiplicity 1)
Sb (0.5000, 0.5000, 0.5000) (multiplicity 1)
Te (0.0000, 0.0000, 0.5000) (multiplicity 1)
Te (0.5000, 0.5000, 0.0000) (multiplicity 1)

Results
* E_tot: -3.814 eV per atom
* crystal system: tetragonal